# Nd2MgMnS5 PBE relaxed
data_Nd2MgMnS5
_cell_length_a 3.949
_cell_length_b 16.563
_cell_length_c 11.590
_cell_angle_alpha 90.00
_cell_angle_beta 90.00
_cell_angle_gamma 90.00
_symmetry_space_group_name_H-M 'C m c 21'
_symmetry_Int_Tables_number 36
loop_
_symmetry_equiv_pos_as_xyz
'x,y,z'
'-x,-y,z+1/2'
'-x,y,z'
'x,-y,z+1/2'
'x+1/2,y+1/2,z'
'-x+1/2,-y+1/2,z+1/2'
'-x+1/2,y+1/2,z'
'x+1/2,-y+1/2,z+1/2'
loop_
_atom_site_label
_atom_site_fract_x
_atom_site_fract_y
_atom_site_fract_z
Nd1 0.000 0.113 0.000
Nd2 0.000 0.132 0.616
Mg1 0.000 0.206 0.327
Mn1 0.000 0.443 0.770
S1 0.000 0.050 0.378
S2 0.000 0.287 0.977
S3 0.000 0.312 0.670
S4 0.000 0.358 0.313
S5 0.000 0.497 0.089
# raw formation energy = -1564 meV per atom

=====

# PRh2W PBE relaxed
data_PRh2W
_cell_length_a 2.885
_cell_length_b 2.885
_cell_length_c 6.776
_cell_angle_alpha 90.00
_cell_angle_beta 90.00
_cell_angle_gamma 90.00
_symmetry_space_group_name_H-M 'P 4 m m'
_symmetry_Int_Tables_number 99
loop_
_symmetry_equiv_pos_as_xyz
'x,y,z'
'-y,x,z'
'-x,-y,z'
'y,-x,z'
'-x,y,z'
'y,x,z'
'x,-y,z'
'-y,-x,z'
loop_
_atom_site_label
_atom_site_fract_x
_atom_site_fract_y
_atom_site_fract_z
P1 0.000 0.000 0.000
Rh1 0.000 0.000 0.508
Rh2 0.500 0.500 0.194
W1 0.500 0.500 0.762
# formation energy from the elements = -1.00 eV per formula unit

=====

# CoMo2AuN PBE relaxed
data_CoMo2AuN
_cell_length_a 4.118
_cell_length_b 4.118
_cell_length_c 3.917
_cell_angle_alpha 90.00
_cell_angle_beta 90.00
_cell_angle_gamma 90.00
_symmetry_space_group_name_H-M 'P 4/m m m'
_symmetry_Int_Tables_number 123
_symmetry_space_group_name_Hall '-P 4 2'
loop_
_atom_site_label
_atom_site_fract_x
_atom_site_fract_y
_atom_site_fract_z
Co1 0.000 0.000 0.000
Mo1 0.000 0.500 0.500
Au1 0.500 0.500 0.000
N1 0.000 0.000 0.500
# raw formation energy = -22 meV per atom

=====

# MnVCr PBE relaxed
data_MnVCr
_cell_length_a 2.6383
_cell_length_b 2.6383
_cell_length_c 12.0931
_cell_angle_alpha 90.00
_cell_angle_beta 90.00
_cell_angle_gamma 120.00
_symmetry_space_group_name_H-M 'P 63 m c'
_symmetry_Int_Tables_number 186
_symmetry_space_group_name_Hall 'P 6c -2c'
loop_
_atom_site_label
_atom_site_fract_x
_atom_site_fract_y
_atom_site_fract_z
Mn1 0.3333 0.6667 0.0000
V1 0.3333 0.6667 0.6665
Cr1 0.0000 0.0000 0.3451
# offset from the most stable computed form = 8.90 kcal/mol of atoms
# formation energy from the elements = 0.70 eV per formula unit

=====

# CeMgSn PBE relaxed
data_CeMgSn
_cell_length_a 4.657
_cell_length_b 10.874
_cell_length_c 6.421
_cell_angle_alpha 90.00
_cell_angle_beta 90.00
_cell_angle_gamma 90.00
_symmetry_space_group_name_H-M 'C m c m'
_symmetry_Int_Tables_number 63
_symmetry_space_group_name_Hall '-C 2c 2'
loop_
_atom_site_label
_atom_site_fract_x
_atom_site_fract_y
_atom_site_fract_z
Ce1 0.000 0.188 0.250
Mg1 0.000 0.500 0.000
Sn1 0.000 0.116 0.750
# formation energy from the elements = -1.21 eV per formula unit

=====

# Pm2ErHf PBE relaxed
data_Pm2ErHf
_cell_length_a 3.3670
_cell_length_b 3.3670
_cell_length_c 36.3837
_cell_angle_alpha 90.00
_cell_angle_beta 90.00
_cell_angle_gamma 120.00
_symmetry_space_group_name_H-M 'R -3 m'
_symmetry_Int_Tables_number 166
_symmetry_space_group_name_Hall '-R 3 2"'
loop_
_atom_site_label
_atom_site_fract_x
_atom_site_fract_y
_atom_site_fract_z
Pm1 0.0000 0.0000 0.0858
Er1 0.0000 0.0000 0.5000
Hf1 0.0000 0.0000 0.0000
# offset from the most stable computed form = 4.94 kcal/mol of atoms
# formation energy from the elements = 1.48 eV per formula unit

=====

# LuZnCdIn PBE relaxed
data_LuZnCdIn
_cell_length_a 7.067
_cell_length_b 7.067
_cell_length_c 7.067
_cell_angle_alpha 90.00
_cell_angle_beta 90.00
_cell_angle_gamma 90.00
_symmetry_space_group_name_H-M 'F -4 3 m'
_symmetry_Int_Tables_number 216
_symmetry_space_group_name_Hall 'F -4 2 3'
loop_
_atom_site_label
_atom_site_fract_x
_atom_site_fract_y
_atom_site_fract_z
Lu1 0.000 0.000 0.000
Zn1 0.250 0.250 0.750
Cd1 0.000 0.000 0.500
In1 0.250 0.250 0.250
# formation energy from the elements = -0.74 eV per formula unit

=====

# AcPuAgGe PBE relaxed
data_AcPuAgGe
_cell_length_a 7.584
_cell_length_b 7.584
_cell_length_c 7.584
_cell_angle_alpha 90.00
_cell_angle_beta 90.00
_cell_angle_gamma 90.00
_symmetry_space_group_name_H-M 'F -4 3 m'
_symmetry_Int_Tables_number 216
_symmetry_space_group_name_Hall 'F -4 2 3'
loop_
_atom_site_label
_atom_site_fract_x
_atom_site_fract_y
_atom_site_fract_z
Ac1 0.000 0.000 0.000
Pu1 0.000 0.000 0.500
Ag1 0.250 0.250 0.750
Ge1 0.250 0.250 0.250
# formation energy from the elements = -1.09 eV per formula unit

=====

# Pm2Sn3Rh PBE relaxed
data_Pm2Sn3Rh
_cell_length_a 10.406
_cell_length_b 7.350
_cell_length_c 8.375
_cell_angle_alpha 90.00
_cell_angle_beta 102.15
_cell_angle_gamma 90.00
_symmetry_space_group_name_H-M 'C 1 2/c 1'
_symmetry_Int_Tables_number 15
loop_
_symmetry_equiv_pos_as_xyz
'x,y,z'
'-x,-y,-z'
'-x,y,-z+1/2'
'x,-y,z+1/2'
'x+1/2,y+1/2,z'
'-x+1/2,-y+1/2,-z'
'-x+1/2,y+1/2,-z+1/2'
'x+1/2,-y+1/2,z+1/2'
loop_
_atom_site_label
_atom_site_fract_x
_atom_site_fract_y
_atom_site_fract_z
Pm1 0.155 0.176 0.141
Sn1 0.000 0.146 0.750
Sn2 0.146 0.385 0.522
Rh1 0.000 0.499 0.250
# offset from the most stable computed form = 1.41 kcal/mol of atoms
# formation energy from the elements = -3.84 eV per formula unit

=====

# LiNiRh2 PBE relaxed
data_LiNiRh2
_cell_length_a 3.934
_cell_length_b 3.934
_cell_length_c 3.234
_cell_angle_alpha 90.00
_cell_angle_beta 90.00
_cell_angle_gamma 90.00
_symmetry_space_group_name_H-M 'P 4/m m m'
_symmetry_Int_Tables_number 123
_symmetry_space_group_name_Hall '-P 4 2'
loop_
_atom_site_label
_atom_site_fract_x
_atom_site_fract_y
_atom_site_fract_z
Li1 0.000 0.000 0.000
Ni1 0.500 0.500 0.000
Rh1 0.000 0.500 0.500
# offset from the most stable computed form = 0.74 kcal/mol of atoms
# formation energy from the elements = -0.12 eV per formula unit

=====

# CeTlAgHg PBE relaxed
data_CeTlAgHg
_cell_length_a 5.195
_cell_length_b 5.195
_cell_length_c 7.371
_cell_angle_alpha 90.00
_cell_angle_beta 90.00
_cell_angle_gamma 90.00
_symmetry_space_group_name_H-M 'I -4 m 2'
_symmetry_Int_Tables_number 119
_symmetry_space_group_name_Hall 'I -4 -2'
loop_
_atom_site_label
_atom_site_fract_x
_atom_site_fract_y
_atom_site_fract_z
Ce1 0.000 0.000 0.000
Tl1 0.000 0.000 0.500
Ag1 0.000 0.500 0.750
Hg1 0.000 0.500 0.250
# formation energy from the elements = -0.83 eV per formula unit

=====

# Sc3URu4 PBE relaxed
data_Sc3URu4
_cell_length_a 3.300
_cell_length_b 4.673
_cell_length_c 8.985
_cell_angle_alpha 90.00
_cell_angle_beta 90.00
_cell_angle_gamma 90.00
_symmetry_space_group_name_H-M 'P m m m'
_symmetry_Int_Tables_number 47
loop_
_symmetry_equiv_pos_as_xyz
'x,y,z'
'-x,-y,-z'
'-x,-y,z'
'x,y,-z'
'x,-y,-z'
'-x,y,z'
'-x,y,-z'
'x,-y,z'
loop_
_atom_site_label
_atom_site_fract_x
_atom_site_fract_y
_atom_site_fract_z
Sc1 0.000 0.000 0.000
Sc2 0.000 0.500 0.237
U1 0.000 0.000 0.500
Ru1 0.500 0.000 0.265
Ru2 0.500 0.500 0.000
Ru3 0.500 0.500 0.500
# formation energy from the elements = -4.62 eV per formula unit

=====

| no. | N(E_F) (states/eV per atom) |
| --- | --- |
| 1 | 0.0246 |
| 2 | 0.6109 |
| 3 | 0.7961 |
| 4 | 1.4383 |
| 5 | 2.1485 |
| 6 | 1.3705 |
| 7 | 0.2433 |
| 8 | 2.7411 |
| 9 | 0.5204 |
| 10 | 1.1919 |
| 11 | 1.8893 |
| 12 | 0.5447 |